Record 1
## La2InGaPd4 (PBE-GGA)

Data for a relaxed La2InGaPd4 crystal.

Computed properties:
- Raw total energy: -42.86 eV/cell
- Spin magnetization: 0.0 μB/cell
- Space-group type: P-3m1, No. 164

Lattice parameters (Å, degrees): 4.594 4.594 9.463 90.00 90.00 120.00
Atoms (fractional coordinates):
La (0.333, 0.667, 0.245)
La (0.667, 0.333, 0.755)
In (0.000, 0.000, 0.500)
Ga (0.000, 0.000, 0.000)
Pd (0.333, 0.667, 0.580)
Pd (0.333, 0.667, 0.929)
Pd (0.667, 0.333, 0.071)
Pd (0.667, 0.333, 0.420)

---

Record 2
## BaOsNO (PBE-GGA)

Data for a relaxed BaOsNO crystal.

Computed properties:
- Relative energy among the computed polymorphs: 1081 meV per atom
- Spin magnetization: 6.1 μB/cell
- Space-group type: P4/nmm, No. 129

Lattice parameters (Å, degrees): 4.889 4.889 5.725 90.00 90.00 90.00
Atoms (fractional coordinates):
Ba (0.250, 0.750, 0.000)
Ba (0.750, 0.250, 0.000)
Os (0.250, 0.250, 0.485)
Os (0.750, 0.750, 0.515)
N (0.250, 0.250, 0.167)
N (0.750, 0.750, 0.833)
O (0.250, 0.750, 0.500)
O (0.750, 0.250, 0.500)

---

Record 3
## MgZrNb (PBE-GGA)

Data for a relaxed MgZrNb crystal.

Computed properties:
- Relative energy among the computed polymorphs: 0 meV per atom
- Spin magnetization: 0.0 μB/cell
- Space-group type: F-43m, No. 216

Lattice parameters (Å, degrees): 4.594 4.594 4.594 60.00 60.00 60.00
Atoms (fractional coordinates):
Mg (0.000, 0.000, 0.000)
Zr (0.250, 0.250, 0.250)
Nb (0.750, 0.750, 0.750)

---

Record 4
## TbNdCu2Pb2 (PBE-GGA)

Data for a relaxed TbNdCu2Pb2 crystal.

Computed properties:
- Raw total energy: -26.68 eV/cell
- Spin magnetization: 0.0 μB/cell
- Space-group type: P3m1, No. 156

Lattice parameters (Å, degrees): 4.673 4.673 7.530 90.00 90.00 120.00
Atoms (fractional coordinates):
Tb (0.000, 0.000, 0.000)
Nd (0.000, 0.000, 0.499)
Cu (0.333, 0.667, 0.691)
Cu (0.667, 0.333, 0.174)
Pb (0.333, 0.667, 0.263)
Pb (0.667, 0.333, 0.775)

---

Record 5
## PmYPt4 (PBE-GGA)

Data for a relaxed PmYPt4 crystal.

Computed properties:
- Formation energy: -103.72 kJ per mole of atoms
- Spin magnetization: 0.0 μB/cell
- Space-group type: F-43m, No. 216

Lattice parameters (Å, degrees): 5.454 5.454 5.454 60.00 60.00 60.00
Atoms (fractional coordinates):
Pm (0.000, 0.000, 0.000)
Y (0.250, 0.250, 0.250)
Pt (0.126, 0.625, 0.625)
Pt (0.625, 0.126, 0.625)
Pt (0.625, 0.625, 0.126)
Pt (0.625, 0.625, 0.625)

---

Record 6
## PmInW (PBE-GGA)

Data for a relaxed PmInW crystal.

Computed properties:
- Relative energy among the computed polymorphs: 472 meV per atom
- Spin magnetization: 2.6 μB/cell
- Space-group type: F-43m, No. 216

Lattice parameters (Å, degrees): 4.987 4.987 4.987 60.00 60.00 60.00
Atoms (fractional coordinates):
Pm (0.000, 0.000, 0.000)
In (0.750, 0.750, 0.750)
W (0.250, 0.250, 0.250)